Record 1
VASP calculation (PBE) on a relaxed structure of Re2Hg2S.

## Properties
The calculation puts the raw formation energy at 0.581 eV/atom. Its crystal system is tetragonal. As for the total energy: -5.34 eV/atom.

a = 6.053 Å, b = 6.053 Å, c = 4.968 Å
α = 90.00°, β = 90.00°, γ = 90.00°
Space group P4/mbm (No. 127)
Inequivalent atoms, fractional coordinates:
Re 0.149 0.351 0.000 [4 per cell]
Hg 0.176 0.676 0.500 [4 per cell]
S 0.000 0.000 0.000 [2 per cell]

=====

Record 2
VASP calculation (PBE) on a relaxed structure of ReHg2S4.

## Properties
The calculation puts the raw formation energy at 0.241 eV/atom. Its crystal system is tetragonal. As for the total energy: -3.98 eV/atom.

a = 4.441 Å, b = 4.441 Å, c = 16.549 Å
α = 90.00°, β = 90.00°, γ = 90.00°
Space group I4/mmm (No. 139)
Inequivalent atoms, fractional coordinates:
Re 0.000 0.000 0.000 [2 per cell]
Hg 0.000 0.000 0.332 [4 per cell]
S 0.000 0.000 0.153 [4 per cell]
S 0.000 0.500 0.000 [4 per cell]

=====

Record 3
VASP calculation (PBE) on a relaxed structure of Re2Hg2S.

## Properties
The calculation puts the raw formation energy at 1.366 eV/atom. Its crystal system is tetragonal. As for the total energy: -4.56 eV/atom.

a = 3.840 Å, b = 3.840 Å, c = 13.487 Å
α = 90.00°, β = 90.00°, γ = 90.00°
Space group I4/mmm (No. 139)
Inequivalent atoms, fractional coordinates:
Re 0.000 0.000 0.084 [4 per cell]
Hg 0.000 0.500 0.250 [4 per cell]
S 0.000 0.000 0.500 [2 per cell]

=====

Record 4
VASP calculation (PBE) on a relaxed structure of ReHgS3.

## Properties
The calculation puts the raw formation energy at 1.779 eV/atom. Its crystal system is cubic. As for the total energy: -3.25 eV/atom.

a = 4.931 Å, b = 4.931 Å, c = 4.931 Å
α = 90.00°, β = 90.00°, γ = 90.00°
Space group Pm-3m (No. 221)
Inequivalent atoms, fractional coordinates:
Re 0.000 0.000 0.000 [1 per cell]
Hg 0.500 0.500 0.500 [1 per cell]
S 0.000 0.500 0.500 [3 per cell]

=====

Record 5
VASP calculation (PBE) on a relaxed structure of ReHg2S.

## Properties
The calculation puts the raw formation energy at 0.407 eV/atom. Its crystal system is tetragonal. As for the total energy: -3.89 eV/atom.

a = 10.756 Å, b = 10.756 Å, c = 4.404 Å
α = 90.00°, β = 90.00°, γ = 90.00°
Space group I-42d (No. 122)
Inequivalent atoms, fractional coordinates:
Re 0.000 0.000 0.000 [4 per cell]
Hg 0.001 0.750 0.125 [8 per cell]
S 0.000 0.000 0.500 [4 per cell]

=====

Record 6
VASP calculation (PBE) on a relaxed structure of ReHgSb2S.

## Properties
The calculation puts the raw formation energy at 1.387 eV/atom. Its crystal system is tetragonal. As for the total energy: -3.64 eV/atom.

a = 5.228 Å, b = 5.228 Å, c = 4.851 Å
α = 90.00°, β = 90.00°, γ = 90.00°
Space group P4/mmm (No. 123)
Inequivalent atoms, fractional coordinates:
Re 0.000 0.000 0.000 [1 per cell]
Hg 0.500 0.500 0.000 [1 per cell]
Sb 0.000 0.500 0.500 [2 per cell]
S 0.500 0.500 0.500 [1 per cell]

=====

Record 7
VASP calculation (PBE) on a relaxed structure of SrReHg2S.

## Properties
The calculation puts the raw formation energy at 0.497 eV/atom. Its crystal system is tetragonal. As for the total energy: -3.28 eV/atom.

a = 5.570 Å, b = 5.570 Å, c = 4.375 Å
α = 90.00°, β = 90.00°, γ = 90.00°
Space group P4/mmm (No. 123)
Inequivalent atoms, fractional coordinates:
Sr 0.000 0.000 0.000 [1 per cell]
Re 0.500 0.500 0.000 [1 per cell]
Hg 0.000 0.500 0.500 [2 per cell]
S 0.500 0.500 0.500 [1 per cell]

=====

Record 8
VASP calculation (PBE) on a relaxed structure of TaReHgS2.

## Properties
The calculation puts the raw formation energy at 2.173 eV/atom. Its crystal system is tetragonal. As for the total energy: -4.40 eV/atom.

a = 4.753 Å, b = 4.753 Å, c = 5.216 Å
α = 90.00°, β = 90.00°, γ = 90.00°
Space group P4/mmm (No. 123)
Inequivalent atoms, fractional coordinates:
Ta 0.000 0.000 0.000 [1 per cell]
Re 0.500 0.500 0.000 [1 per cell]
Hg 0.500 0.500 0.500 [1 per cell]
S 0.000 0.500 0.500 [2 per cell]

=====

Record 9
VASP calculation (PBE) on a relaxed structure of ReHgSb2.

## Properties
The calculation puts the raw formation energy at 0.832 eV/atom. Its crystal system is orthorhombic. As for the total energy: -4.42 eV/atom.

a = 6.097 Å, b = 7.954 Å, c = 3.511 Å
α = 90.00°, β = 90.00°, γ = 90.00°
Space group Cmmm (No. 65)
Inequivalent atoms, fractional coordinates:
Re 0.000 0.000 0.000 [2 per cell]
Hg 0.000 0.500 0.000 [2 per cell]
Sb 0.250 0.250 0.500 [4 per cell]

=====

Record 10
VASP calculation (PBE) on a relaxed structure of ReHgSb2.

## Properties
The calculation puts the raw formation energy at 0.441 eV/atom. Its crystal system is orthorhombic. As for the total energy: -4.81 eV/atom.

a = 3.157 Å, b = 4.816 Å, c = 12.743 Å
α = 90.00°, β = 90.00°, γ = 90.00°
Space group Immm (No. 71)
Inequivalent atoms, fractional coordinates:
Re 0.000 0.000 0.000 [2 per cell]
Hg 0.000 0.000 0.500 [2 per cell]
Sb 0.000 0.500 0.326 [4 per cell]

=====

Record 11
VASP calculation (PBE) on a relaxed structure of ReHgSb2.

## Properties
The calculation puts the raw formation energy at 0.779 eV/atom. Its crystal system is tetragonal. As for the total energy: -4.47 eV/atom.

a = 4.673 Å, b = 4.673 Å, c = 7.753 Å
α = 90.00°, β = 90.00°, γ = 90.00°
Space group I4/mmm (No. 139)
Inequivalent atoms, fractional coordinates:
Re 0.000 0.000 0.000 [2 per cell]
Hg 0.000 0.000 0.500 [2 per cell]
Sb 0.000 0.500 0.250 [4 per cell]

=====

Record 12
VASP calculation (PBE) on a relaxed structure of ReHgSb3.

## Properties
The calculation puts the raw formation energy at 1.852 eV/atom. Its crystal system is cubic. As for the total energy: -3.17 eV/atom.

a = 5.443 Å, b = 5.443 Å, c = 5.443 Å
α = 90.00°, β = 90.00°, γ = 90.00°
Space group Pm-3m (No. 221)
Inequivalent atoms, fractional coordinates:
Re 0.000 0.000 0.000 [1 per cell]
Hg 0.500 0.500 0.500 [1 per cell]
Sb 0.000 0.500 0.500 [3 per cell]

=====

Record 13
VASP calculation (PBE) on a relaxed structure of ReHgSb2.

## Properties
The calculation puts the raw formation energy at 0.555 eV/atom. Its crystal system is orthorhombic. As for the total energy: -4.69 eV/atom.

a = 3.093 Å, b = 4.228 Å, c = 8.140 Å
α = 90.00°, β = 90.00°, γ = 90.00°
Space group Pmm2 (No. 25)
Inequivalent atoms, fractional coordinates:
Re 0.000 0.000 0.000 [1 per cell]
Hg 0.500 0.500 0.557 [1 per cell]
Sb 0.000 0.000 0.318 [1 per cell]
Sb 0.500 0.500 0.915 [1 per cell]

=====

Record 14
VASP calculation (PBE) on a relaxed structure of ReHgSb2.

## Properties
The calculation puts the raw formation energy at 1.004 eV/atom. Its crystal system is cubic. As for the total energy: -4.24 eV/atom.

a = 7.017 Å, b = 7.017 Å, c = 7.017 Å
α = 90.00°, β = 90.00°, γ = 90.00°
Space group F-43m (No. 216)
Inequivalent atoms, fractional coordinates:
Re 0.000 0.000 0.000 [4 per cell]
Hg 0.250 0.250 0.750 [4 per cell]
Sb 0.000 0.000 0.500 [4 per cell]
Sb 0.250 0.250 0.250 [4 per cell]

=====

Record 15
VASP calculation (PBE) on a relaxed structure of ReHgSb2.

## Properties
The calculation puts the raw formation energy at 0.556 eV/atom. Its crystal system is tetragonal. As for the total energy: -4.69 eV/atom.

a = 3.204 Å, b = 3.204 Å, c = 8.818 Å
α = 90.00°, β = 90.00°, γ = 90.00°
Space group P4mm (No. 99)
Inequivalent atoms, fractional coordinates:
Re 0.000 0.000 0.000 [1 per cell]
Hg 0.500 0.500 0.781 [1 per cell]
Sb 0.000 0.000 0.497 [1 per cell]
Sb 0.500 0.500 0.176 [1 per cell]

=====

Record 16
VASP calculation (PBE) on a relaxed structure of ReHg4Sb.

## Properties
The calculation puts the raw formation energy at 1.018 eV/atom. Its crystal system is cubic. As for the total energy: -1.95 eV/atom.

a = 8.104 Å, b = 8.104 Å, c = 8.104 Å
α = 90.00°, β = 90.00°, γ = 90.00°
Space group F-43m (No. 216)
Inequivalent atoms, fractional coordinates:
Re 0.000 0.000 0.000 [4 per cell]
Hg 0.126 0.126 0.374 [16 per cell]
Sb 0.250 0.250 0.750 [4 per cell]

=====

Record 17
VASP calculation (PBE) on a relaxed structure of ReHgSb2.

## Properties
The calculation puts the raw formation energy at 0.258 eV/atom. Its crystal system is monoclinic. As for the total energy: -4.99 eV/atom.

a = 5.728 Å, b = 3.306 Å, c = 10.957 Å
α = 90.00°, β = 100.12°, γ = 90.00°
Space group C2/m (No. 12)
Inequivalent atoms, fractional coordinates:
Re 0.000 0.000 0.000 [2 per cell]
Hg 0.000 0.500 0.500 [2 per cell]
Sb 0.229 0.500 0.184 [4 per cell]

=====

Record 18
VASP calculation (PBE) on a relaxed structure of ReHgSb2.

## Properties
The calculation puts the raw formation energy at 0.372 eV/atom. Its crystal system is orthorhombic. As for the total energy: -4.88 eV/atom.

a = 3.276 Å, b = 3.353 Å, c = 18.875 Å
α = 90.00°, β = 90.00°, γ = 90.00°
Space group Imm2 (No. 44)
Inequivalent atoms, fractional coordinates:
Re 0.000 0.000 0.000 [2 per cell]
Hg 0.000 0.500 0.261 [2 per cell]
Sb 0.000 0.000 0.423 [2 per cell]
Sb 0.000 0.500 0.612 [2 per cell]

=====

Record 19
VASP calculation (PBE) on a relaxed structure of ReHgSb3.

## Properties
The calculation puts the raw formation energy at 0.590 eV/atom. Its crystal system is cubic. As for the total energy: -4.43 eV/atom.

a = 5.228 Å, b = 5.228 Å, c = 5.228 Å
α = 90.00°, β = 90.00°, γ = 90.00°
Space group Pm-3m (No. 221)
Inequivalent atoms, fractional coordinates:
Re 0.000 0.000 0.000 [1 per cell]
Hg 0.500 0.500 0.500 [1 per cell]
Sb 0.000 0.000 0.500 [3 per cell]

=====

Record 20
VASP calculation (PBE) on a relaxed structure of ReHgSb2.

## Properties
The calculation puts the raw formation energy at 0.673 eV/atom. Its crystal system is orthorhombic. As for the total energy: -4.58 eV/atom.

a = 3.309 Å, b = 5.344 Å, c = 10.737 Å
α = 90.00°, β = 90.00°, γ = 90.00°
Space group Cmm2 (No. 35)
Inequivalent atoms, fractional coordinates:
Re 0.000 0.000 0.000 [2 per cell]
Hg 0.000 0.500 0.219 [2 per cell]
Sb 0.000 0.000 0.468 [2 per cell]
Sb 0.000 0.500 0.808 [2 per cell]

=====

Record 21
VASP calculation (PBE) on a relaxed structure of ReHgSb2.

## Properties
The calculation puts the raw formation energy at 0.472 eV/atom. Its crystal system is orthorhombic. As for the total energy: -4.78 eV/atom.

a = 3.288 Å, b = 5.376 Å, c = 11.098 Å
α = 90.00°, β = 90.00°, γ = 90.00°
Space group Cmmm (No. 65)
Inequivalent atoms, fractional coordinates:
Re 0.000 0.000 0.000 [2 per cell]
Hg 0.000 0.000 0.500 [2 per cell]
Sb 0.000 0.500 0.197 [4 per cell]

=====

Record 22
VASP calculation (PBE) on a relaxed structure of Re3HgSb.

## Properties
The calculation puts the raw formation energy at 2.571 eV/atom. Its crystal system is cubic. As for the total energy: -5.78 eV/atom.

a = 4.857 Å, b = 4.857 Å, c = 4.857 Å
α = 90.00°, β = 90.00°, γ = 90.00°
Space group Pm-3m (No. 221)
Inequivalent atoms, fractional coordinates:
Re 0.000 0.000 0.500 [3 per cell]
Hg 0.500 0.500 0.500 [1 per cell]
Sb 0.000 0.000 0.000 [1 per cell]

=====

Record 23
VASP calculation (PBE) on a relaxed structure of ReHgSb2.

## Properties
The calculation puts the raw formation energy at 0.963 eV/atom. Its crystal system is orthorhombic. As for the total energy: -4.29 eV/atom.

a = 3.580 Å, b = 4.754 Å, c = 5.055 Å
α = 90.00°, β = 90.00°, γ = 90.00°
Space group Pmmm (No. 47)
Inequivalent atoms, fractional coordinates:
Re 0.000 0.000 0.000 [1 per cell]
Hg 0.500 0.000 0.500 [1 per cell]
Sb 0.000 0.500 0.500 [1 per cell]
Sb 0.500 0.500 0.000 [1 per cell]

=====

Record 24
VASP calculation (PBE) on a relaxed structure of ReHgSb2.

## Properties
The calculation puts the raw formation energy at 0.639 eV/atom. Its crystal system is monoclinic. As for the total energy: -4.61 eV/atom.

a = 3.520 Å, b = 4.756 Å, c = 5.453 Å
α = 90.00°, β = 108.77°, γ = 90.00°
Space group Pm (No. 6)
Inequivalent atoms, fractional coordinates:
Re 0.000 0.000 0.000 [1 per cell]
Hg 0.827 0.500 0.658 [1 per cell]
Sb 0.282 0.000 0.566 [1 per cell]
Sb 0.562 0.500 0.124 [1 per cell]

=====

Record 25
VASP calculation (PBE) on a relaxed structure of ReHgSb2.

## Properties
The calculation puts the raw formation energy at 0.939 eV/atom. Its crystal system is tetragonal. As for the total energy: -4.31 eV/atom.

a = 4.269 Å, b = 4.269 Å, c = 9.422 Å
α = 90.00°, β = 90.00°, γ = 90.00°
Space group I-4m2 (No. 119)
Inequivalent atoms, fractional coordinates:
Re 0.000 0.000 0.000 [2 per cell]
Hg 0.000 0.500 0.250 [2 per cell]
Sb 0.000 0.000 0.500 [2 per cell]
Sb 0.000 0.500 0.750 [2 per cell]

=====

Record 26
VASP calculation (PBE) on a relaxed structure of ReHgSb2.

## Properties
The calculation puts the raw formation energy at 0.440 eV/atom. Its crystal system is monoclinic. As for the total energy: -4.81 eV/atom.

a = 10.268 Å, b = 3.163 Å, c = 6.548 Å
α = 90.00°, β = 111.53°, γ = 90.00°
Space group Cm (No. 8)
Inequivalent atoms, fractional coordinates:
Re 0.000 0.000 0.000 [2 per cell]
Hg 0.265 0.000 0.001 [2 per cell]
Sb 0.107 0.500 0.361 [2 per cell]
Sb 0.421 0.000 0.638 [2 per cell]

=====

Record 27
VASP calculation (PBE) on a relaxed structure of ReHgSb2.

## Properties
The calculation puts the raw formation energy at 0.865 eV/atom. Its crystal system is tetragonal. As for the total energy: -4.38 eV/atom.

a = 4.960 Å, b = 4.960 Å, c = 3.455 Å
α = 90.00°, β = 90.00°, γ = 90.00°
Space group P4/mmm (No. 123)
Inequivalent atoms, fractional coordinates:
Re 0.000 0.000 0.000 [1 per cell]
Hg 0.500 0.500 0.000 [1 per cell]
Sb 0.000 0.500 0.500 [2 per cell]

=====

Record 28
VASP calculation (PBE) on a relaxed structure of ReHgSb2.

## Properties
The calculation puts the raw formation energy at 0.582 eV/atom. Its crystal system is trigonal. As for the total energy: -4.67 eV/atom.

a = 3.2619 Å, b = 3.2619 Å, c = 29.3499 Å
α = 90.00°, β = 90.00°, γ = 120.00°
Space group R3m (No. 160, hexagonal axes)
Inequivalent atoms, fractional coordinates:
Re 0.0000 0.0000 0.0000 [3 per cell]
Hg 0.0000 0.0000 0.7436 [3 per cell]
Sb 0.0000 0.0000 0.2683 [3 per cell]
Sb 0.0000 0.0000 0.5024 [3 per cell]

=====

Record 29
VASP calculation (PBE) on a relaxed structure of ReHgSb2.

## Properties
The calculation puts the raw formation energy at 0.220 eV/atom. Its crystal system is monoclinic. As for the total energy: -5.03 eV/atom.

a = 3.260 Å, b = 3.266 Å, c = 9.046 Å
α = 90.00°, β = 90.46°, γ = 90.00°
Space group P2/m (No. 10)
Inequivalent atoms, fractional coordinates:
Re 0.000 0.000 0.000 [1 per cell]
Hg 0.000 0.000 0.500 [1 per cell]
Sb 0.496 0.500 0.818 [2 per cell]